(1)
4
Lattice="-0.922 -2.966 -1.059 3.040 -1.127 0.508 -2.025 -2.062 7.539" Properties=species:S:1:pos:R:3 comment="CeScInRu | the Alexandria database | GGA-PBE | relaxed" formation_energy_mev_per_atom=-483 spacegroup="No. 99" e_above_lowest_polymorph_mev_per_atom=0 dos_at_fermi_per_ev_cell=3.491 pbc="T T T"
Ce -0.517 -3.651 5.590
Sc 0.321 -2.797 2.470
In -0.188 -0.191 0.698
Ru -1.113 -1.134 4.145

---

(2)
4
Lattice="4.991 0.000 0.000 2.496 4.323 0.000 2.496 1.441 4.076" Properties=species:S:1:pos:R:3 comment="CeScInRu | the Alexandria database | GGA-PBE | relaxed" formation_energy_mev_per_atom=-244 spacegroup="No. 216" e_above_lowest_polymorph_mev_per_atom=239 dos_at_fermi_per_ev_cell=5.502 pbc="T T T"
Sc 0.000 0.000 0.000
Ru 7.487 4.323 3.057
Ce 4.991 2.882 2.038
In 2.496 1.441 1.019

---

(3)
4
Lattice="-2.496 3.294 3.038 -4.704 1.602 -1.272 -4.064 -1.578 2.702" Properties=species:S:1:pos:R:3 comment="TbCeInRu | the Alexandria database | GGA-PBE | relaxed" formation_energy_mev_per_atom=-228 spacegroup="No. 216" e_above_lowest_polymorph_mev_per_atom=188 dos_at_fermi_per_ev_cell=6.060 pbc="T T T"
Ru -8.448 2.488 3.351
Tb -5.632 1.659 2.234
Ce 0.000 0.000 0.000
In -2.816 0.829 1.117

---

(4)
4
Lattice="-3.248 -0.783 -0.483 0.522 -3.027 1.399 -1.889 3.168 7.559" Properties=species:S:1:pos:R:3 comment="TbCeInRu | the Alexandria database | GGA-PBE | relaxed" formation_energy_mev_per_atom=-416 spacegroup="No. 99" e_above_lowest_polymorph_mev_per_atom=0 dos_at_fermi_per_ev_cell=3.836 pbc="T T T"
Tb -2.834 0.561 6.343
Ce -2.056 -0.742 3.233
In -0.128 0.215 0.514
Ru -1.078 1.809 4.316

---

(5)
10
Lattice="4.334 0.000 0.000 0.000 7.232 0.418 0.000 -2.597 7.397" Properties=species:S:1:pos:R:3 comment="Ce2ZnInRu | the Alexandria database | GGA-PBE | relaxed" formation_energy_mev_per_atom=-329 spacegroup="No. 11" dos_at_fermi_per_ev_cell=15.609 pbc="T T T"
Ce 3.251 4.552 5.249
Ce 3.251 5.130 0.606
Ce 1.084 0.084 2.566
Ce 1.084 -0.494 7.210
Zn 1.084 2.253 5.156
Zn 3.251 2.383 2.659
In 1.084 4.014 2.810
In 3.251 0.622 5.005
Ru 1.084 3.969 7.072
Ru 3.251 0.666 0.743

---

(6)
7
Lattice="-0.215 -5.633 3.032 3.260 0.019 -5.509 3.000 4.077 3.918" Properties=species:S:1:pos:R:3 comment="CeIn2S4 | the Alexandria database | GGA-PBE | relaxed" formation_energy_uncorrected_ev_per_atom=-0.736 spacegroup="No. 87" dos_at_fermi_per_ev_cell=9.239 pbc="T T T"
Ce 1.522 -2.807 -1.238
In 3.891 0.644 -1.414
In 2.153 -2.182 2.856
S 1.995 0.223 1.946
S 1.299 -4.047 1.298
S 4.745 2.510 0.144
S 4.049 -1.761 -0.504

---

(7)
20
Lattice="6.858 0.000 0.000 0.000 8.668 0.064 0.000 -1.872 8.464" Properties=species:S:1:pos:R:3 comment="Ce3InS6 | the Alexandria database | GGA-PBE | relaxed" formation_energy_uncorrected_ev_per_atom=-1.627 spacegroup="No. 36" dos_at_fermi_per_ev_cell=36.911 pbc="T T T"
Ce 3.319 6.625 6.088
Ce 6.748 4.456 7.816
Ce 2.675 2.323 5.121
Ce 6.104 4.473 3.407
Ce 6.748 0.171 2.440
Ce 3.319 2.340 0.711
In 6.838 -0.051 7.013
In 3.409 6.847 1.515
S 1.273 4.789 5.417
S 4.702 4.212 5.877
S 1.347 2.041 7.672
S 4.776 7.023 3.702
S 1.598 -1.751 8.368
S 4.343 0.545 6.538
S 0.914 6.251 1.990
S 5.027 8.548 0.160
S 1.347 -0.227 4.826
S 4.776 4.755 0.856
S 1.273 2.584 2.651
S 4.702 2.007 3.111

---

(8)
4
Lattice="-1.584 2.349 2.738 -3.783 1.068 -0.269 -3.943 -5.391 5.180" Properties=species:S:1:pos:R:3 comment="Ce2InS | the Alexandria database | GGA-PBE | relaxed" formation_energy_uncorrected_ev_per_atom=-1.064 spacegroup="No. 166" dos_at_fermi_per_ev_cell=10.148 pbc="T T T"
S 0.000 0.000 0.000
Ce -7.086 -1.795 5.946
Ce -2.224 -0.179 1.702
In -4.655 -0.987 3.824

---

(9)
20
Lattice="-0.652 -3.762 -1.001 -2.304 -2.494 10.880 -8.936 3.041 -5.606" Properties=species:S:1:pos:R:3 comment="CeIn3S6 | the Alexandria database | GGA-PBE | relaxed" formation_energy_uncorrected_ev_per_atom=-0.884 spacegroup="No. 11" dos_at_fermi_per_ev_cell=14.334 pbc="T T T"
Ce -6.911 -0.814 -4.109
Ce -4.982 -2.401 8.382
In -8.971 -1.387 -0.614
In -2.922 -1.828 4.887
In -6.408 -3.108 4.189
In -5.484 -0.107 0.085
In -1.761 -2.942 0.533
In -10.131 -0.273 3.740
S -6.929 -2.109 0.771
S -4.964 -1.106 3.502
S -3.415 -4.867 8.849
S -8.478 1.652 -4.575
S -1.936 -3.626 3.218
S -9.956 0.411 1.055
S -4.528 -3.876 5.849
S -7.365 0.661 -1.576
S -4.849 -1.670 -2.236
S -7.043 -1.545 6.509
S -8.921 -2.565 3.784
S -2.971 -0.650 0.490

---

(10)
19
Lattice="7.924 -0.484 -0.946 -1.006 7.874 -0.946 -0.453 -0.484 7.967" Properties=species:S:1:pos:R:3 comment="Ce6InS12 | the Alexandria database | GGA-PBE | relaxed" formation_energy_uncorrected_ev_per_atom=-1.722 spacegroup="No. 148" dos_at_fermi_per_ev_cell=29.553 pbc="T T T"
Ce 0.483 1.995 4.514
Ce 4.772 2.248 5.873
Ce 1.837 6.292 4.399
Ce 5.981 4.910 1.561
Ce 1.692 4.657 0.202
Ce 4.627 0.614 1.676
In 0.000 0.000 0.000
S 2.982 0.902 4.056
S 0.621 4.284 2.725
S 4.092 3.035 0.451
S 3.482 6.003 2.019
S 5.843 2.622 3.350
S 2.372 3.870 5.624
S -0.857 7.038 4.489
S 1.546 7.296 -0.712
S -0.267 2.024 7.209
S 7.321 -0.132 1.587
S 4.918 -0.390 6.788
S 6.731 4.882 -1.133